A plane-wave DFT calculation with PBE was carried out for an optimized crystal structure of MgNiRu.

a = 8.348 Å, b = 3.945 Å, c = 5.358 Å
α = 90.00°, β = 107.45°, γ = 90.00°
Space group Cm (No. 8)
Inequivalent atoms, fractional coordinates:
Mg  0.000  0.000  0.000 (multiplicity 2)
Mg  0.157  0.500  0.810 (multiplicity 2)
Ni  0.161  0.500  0.317 (multiplicity 2)
Ni  0.339  0.000  0.151 (multiplicity 2)
Ru  0.303  0.000  0.601 (multiplicity 2)
Ru  0.477  0.500  0.478 (multiplicity 2)

Computed properties:
Energy of formation from the pure elements   37 meV per atom
E_tot   -5.513 eV/atom